# 1
The following is a DFT calculation (PBE-GGA) of Zr2TaIr after structural relaxation.

Cell lengths 4.706, 4.706, 3.420 Å; angles 90.00, 90.00, 90.01 degrees
Element x y z (fractional)
Zr (0.000, 0.000, 0.000)
Zr (0.500, 0.500, 0.000)
Ir (0.500, 0.000, 0.500)
Ta (0.000, 0.500, 0.500)

Calculated values
SG: P4/mmm, No. 123
Energy relative to the lowest polymorph listed for this composition (eV per atom): 0.041
Size of the total moment (μB/cell): 0.00
N(E_F) (states/eV/f.u.): 5.21
Calculated volume (Å³/cell): 76
VASP energy (eV per atom): -9.798
Energy of formation (meV/atom): -345

# 2
The following is a DFT calculation (PBE-GGA) of Mg2GaH after structural relaxation.

Cell lengths 2.961, 2.961, 7.110 Å; angles 90.00, 90.00, 90.00 degrees
Element x y z (fractional)
Mg (0.000, 0.000, 0.796)
Mg (0.000, 0.000, 0.204)
Ga (0.500, 0.500, 0.500)
H (0.500, 0.500, 0.000)

Calculated values
SG: P4/mmm, No. 123
Energy relative to the lowest polymorph listed for this composition (eV per atom): 0.181
Size of the total moment (μB/cell): 0.00
N(E_F) (states/eV/f.u.): 0.98
Calculated volume (Å³/cell): 62
VASP energy (eV per atom): -2.252

# 3
The following is a DFT calculation (PBE-GGA) of BaLaBiI after structural relaxation.

Cell lengths 5.883, 5.883, 5.883 Å; angles 60.00, 60.00, 60.00 degrees
Element x y z (fractional)
Ba (0.750, 0.750, 0.750)
Bi (0.500, 0.500, 0.500)
La (0.250, 0.250, 0.250)
I (0.000, 0.000, 0.000)

Calculated values
SG: F-43m, No. 216
Energy relative to the lowest polymorph listed for this composition (eV per atom): 0.099
Size of the total moment (μB/cell): 0.69
N(E_F) (states/eV/f.u.): 2.69
Calculated volume (Å³/cell): 144
VASP energy (eV per atom): -4.071